(1)
# CuCNF2, optimized geometry, DFT PBE
# DOS(E_F): 3.0 states/eV/f.u.
# uncorrected formation energy: 1.357 eV/atom
# crystal system: tetragonal
data_CuCNF2
_chemical_formula_sum 'Cu1 C1 N1 F2'
_space_group_name_H-M_alt 'P 4/m m m'
_space_group_IT_number 123
_space_group_name_Hall '-P 4 2'
_cell_length_a 3.736
_cell_length_b 3.736
_cell_length_c 3.950
_cell_angle_alpha 90.00
_cell_angle_beta 90.00
_cell_angle_gamma 90.00
loop_
_atom_site_label
_atom_site_fract_x
_atom_site_fract_y
_atom_site_fract_z
_atom_site_occupancy
Cu1 0.000 0.000 0.000 1
C1 0.500 0.500 0.500 1
N1 0.000 0.000 0.500 1
F1 0.000 0.500 0.000 1

---

(2)
# CuCNF2, optimized geometry, DFT PBE
# DOS(E_F): 4.6 states/eV/f.u.
# uncorrected formation energy: -0.039 eV/atom
# crystal system: tetragonal
data_CuCNF2
_chemical_formula_sum 'Cu1 C1 N1 F2'
_space_group_name_H-M_alt 'P 4/m m m'
_space_group_IT_number 123
_space_group_name_Hall '-P 4 2'
_cell_length_a 4.446
_cell_length_b 4.446
_cell_length_c 2.471
_cell_angle_alpha 90.00
_cell_angle_beta 90.00
_cell_angle_gamma 90.00
loop_
_atom_site_label
_atom_site_fract_x
_atom_site_fract_y
_atom_site_fract_z
_atom_site_occupancy
Cu1 0.000 0.000 0.000 1
C1 0.500 0.500 0.500 1
N1 0.500 0.500 0.000 1
F1 0.000 0.500 0.500 1

---

(3)
# NaCu2CF, optimized geometry, DFT PBE
# DOS(E_F): 3.9 states/eV/f.u.
# uncorrected formation energy: -0.243 eV/atom
# crystal system: tetragonal
data_NaCu2CF
_chemical_formula_sum 'Na1 Cu2 C1 F1'
_space_group_name_H-M_alt 'P 4/m m m'
_space_group_IT_number 123
_space_group_name_Hall '-P 4 2'
_cell_length_a 3.662
_cell_length_b 3.662
_cell_length_c 5.876
_cell_angle_alpha 90.00
_cell_angle_beta 90.00
_cell_angle_gamma 90.00
loop_
_atom_site_label
_atom_site_fract_x
_atom_site_fract_y
_atom_site_fract_z
_atom_site_occupancy
Na1 0.000 0.000 0.000 1
Cu1 0.000 0.500 0.500 1
C1 0.000 0.000 0.500 1
F1 0.500 0.500 0.000 1

---

(4)
# NaCu2CF, optimized geometry, DFT PBE
# DOS(E_F): 2.3 states/eV/f.u.
# uncorrected formation energy: 1.444 eV/atom
# crystal system: tetragonal
data_NaCu2CF
_chemical_formula_sum 'Na1 Cu2 C1 F1'
_space_group_name_H-M_alt 'P 4/m m m'
_space_group_IT_number 123
_space_group_name_Hall '-P 4 2'
_cell_length_a 4.777
_cell_length_b 4.777
_cell_length_c 3.757
_cell_angle_alpha 90.00
_cell_angle_beta 90.00
_cell_angle_gamma 90.00
loop_
_atom_site_label
_atom_site_fract_x
_atom_site_fract_y
_atom_site_fract_z
_atom_site_occupancy
Na1 0.000 0.000 0.000 1
Cu1 0.000 0.500 0.000 1
C1 0.500 0.500 0.500 1
F1 0.000 0.000 0.500 1

---

(5)
# CuCOF2, optimized geometry, DFT PBE
# DOS(E_F): 1.1 states/eV/f.u.
# uncorrected formation energy: 0.185 eV/atom
# crystal system: tetragonal
data_CuCOF2
_chemical_formula_sum 'Cu1 C1 O1 F2'
_space_group_name_H-M_alt 'P 4/m m m'
_space_group_IT_number 123
_space_group_name_Hall '-P 4 2'
_cell_length_a 4.240
_cell_length_b 4.240
_cell_length_c 2.754
_cell_angle_alpha 90.00
_cell_angle_beta 90.00
_cell_angle_gamma 90.00
loop_
_atom_site_label
_atom_site_fract_x
_atom_site_fract_y
_atom_site_fract_z
_atom_site_occupancy
Cu1 0.000 0.000 0.000 1
C1 0.500 0.500 0.500 1
O1 0.500 0.500 0.000 1
F1 0.000 0.500 0.500 1

---

(6)
# CuCOF2, optimized geometry, DFT PBE
# DOS(E_F): 3.1 states/eV/f.u.
# uncorrected formation energy: 0.683 eV/atom
# crystal system: tetragonal
data_CuCOF2
_chemical_formula_sum 'Cu1 C1 O1 F2'
_space_group_name_H-M_alt 'P 4/m m m'
_space_group_IT_number 123
_space_group_name_Hall '-P 4 2'
_cell_length_a 3.780
_cell_length_b 3.780
_cell_length_c 3.900
_cell_angle_alpha 90.00
_cell_angle_beta 90.00
_cell_angle_gamma 90.00
loop_
_atom_site_label
_atom_site_fract_x
_atom_site_fract_y
_atom_site_fract_z
_atom_site_occupancy
Cu1 0.000 0.000 0.000 1
C1 0.500 0.500 0.500 1
O1 0.000 0.000 0.500 1
F1 0.000 0.500 0.000 1

---

(7)
# Rb2CuCF6, optimized geometry, DFT PBE
# DOS(E_F): 3.2 states/eV/f.u.
# uncorrected formation energy: -1.433 eV/atom
# crystal system: tetragonal
data_Rb2CuCF6
_chemical_formula_sum 'Rb4 Cu2 C2 F12'
_space_group_name_H-M_alt 'I 4/m m m'
_space_group_IT_number 139
_space_group_name_Hall '-I 4 2'
_cell_length_a 5.696
_cell_length_b 5.696
_cell_length_c 8.559
_cell_angle_alpha 90.00
_cell_angle_beta 90.00
_cell_angle_gamma 90.00
loop_
_atom_site_label
_atom_site_fract_x
_atom_site_fract_y
_atom_site_fract_z
_atom_site_occupancy
Rb1 0.000 0.500 0.250 1
Cu1 0.000 0.000 0.000 1
C1 0.000 0.000 0.500 1
F1 0.000 0.000 0.289 1
F2 0.248 0.248 0.000 1

---

(8)
# CuTe2CF, optimized geometry, DFT PBE
# DOS(E_F): 2.3 states/eV/f.u.
# uncorrected formation energy: 0.622 eV/atom
# crystal system: tetragonal
data_CuTe2CF
_chemical_formula_sum 'Cu1 Te2 C1 F1'
_space_group_name_H-M_alt 'P 4/m m m'
_space_group_IT_number 123
_space_group_name_Hall '-P 4 2'
_cell_length_a 4.755
_cell_length_b 4.755
_cell_length_c 3.760
_cell_angle_alpha 90.00
_cell_angle_beta 90.00
_cell_angle_gamma 90.00
loop_
_atom_site_label
_atom_site_fract_x
_atom_site_fract_y
_atom_site_fract_z
_atom_site_occupancy
Cu1 0.000 0.000 0.000 1
Te1 0.000 0.500 0.500 1
C1 0.500 0.500 0.500 1
F1 0.500 0.500 0.000 1